Below is crystalline Co5Hg at its relaxed geometry, with properties calculated at the PBE-GGA level. Values from VASP.

Cell and atoms, written as Quantum ESPRESSO input:
```
&SYSTEM
  ibrav = 0, nat = 6, ntyp = 2
/
ATOMIC_SPECIES
Co 58.93 Co.upf
Hg 200.59 Hg.upf
CELL_PARAMETERS angstrom
0.000 3.380 3.380
3.380 0.000 3.380
3.380 3.380 0.000
ATOMIC_POSITIONS angstrom
Co 0.000 0.000 0.000
Co 2.532 2.532 2.532
Co 4.228 4.228 2.532
Co 4.228 2.532 4.228
Co 2.532 4.228 4.228
Hg 5.070 5.070 5.070
```

Values from the calculation:
Electronic total energy = -33.92 eV for the cell shown